--- i ---
Material: AlFe3Sn
Method: DFT, PBE
State: optimized geometry

```
5
Lattice="4.421 0.000 0.000 0.000 4.421 0.000 0.000 0.000 4.421" Properties=species:S:1:pos:R:3 pbc="T T T"
Al 0.000 0.000 0.000
Fe 0.000 0.000 2.211
Fe 0.000 2.211 0.000
Fe 2.211 0.000 0.000
Sn 2.211 2.211 2.211
```

Summary:
Spin magnetization in Bohr magnetons per cell: 6.576
Space-group type: No. 221

--- ii ---
Material: AlFe3Sn
Method: DFT, PBE
State: optimized geometry

```
5
Lattice="4.793 0.000 0.000 0.000 4.793 0.000 0.000 0.000 4.793" Properties=species:S:1:pos:R:3 pbc="T T T"
Al 0.000 0.000 0.000
Fe 0.000 2.396 2.396
Fe 2.396 0.000 2.396
Fe 2.396 2.396 0.000
Sn 2.396 2.396 2.396
```

Summary:
Spin magnetization in Bohr magnetons per cell: 8.355
Space-group type: No. 221

Quick look at relative energies in eV/atom: i 0.000; ii 0.560.